1.
Computed, not measured: a geometry-optimized NpSc2Tl2S6 structure at the PBE level of DFT.

Unit cell a=6.6550 b=6.6550 c=7.9074 alpha=98.10 beta=98.10 gamma=120.24
Closest atoms and distances in Å follow each position.
Fractional positions:
Np1 0.0000 0.0000 0.0000  6 S 2.68
Sc1 0.3328 0.6672 0.0000  6 S 2.60-2.62
Sc2 0.6672 0.3328 0.0000  6 S 2.60-2.62
Tl1 0.1663 0.8337 0.5000  6 S 3.20-3.25
Tl2 0.8337 0.1663 0.5000  6 S 3.20-3.25
S1 0.0612 0.4035 0.1886  2 Sc 2.60-2.62, 1 Np 2.68
S2 0.2774 0.2774 0.8114  2 Sc 2.62, 1 Np 2.68
S3 0.4035 0.0612 0.1886  2 Sc 2.60-2.62, 1 Np 2.68
S4 0.5965 0.9388 0.8114  2 Sc 2.60-2.62, 1 Np 2.68
S5 0.7226 0.7226 0.1886  2 Sc 2.62, 1 Np 2.68
S6 0.9388 0.5965 0.8114  2 Sc 2.60-2.62, 1 Np 2.68

Space group   No. 12
VASP energy   -69.95 eV for the cell shown
ρ   5.31 Mg/m³

2.
Computed, not measured: a geometry-optimized Cs2KAgBr structure at the PBE level of DFT.

Unit cell a=6.9929 b=6.9929 c=6.2742 alpha=90.00 beta=90.00 gamma=90.00
Closest atoms and distances in Å follow each position.
Fractional positions:
Cs1 0.0000 0.5000 0.0000  2 Br 3.50
Cs2 0.5000 0.0000 0.0000  2 Br 3.50
K1 0.0000 0.0000 0.5000  2 Br 3.14
Ag1 0.5000 0.5000 0.5000  8 Cs 4.70, 4 K 4.94
Br1 0.0000 0.0000 0.0000  2 K 3.14, 4 Cs 3.50

Space group   No. 123
VASP energy   -10.02 eV for the cell shown
ρ   2.67 Mg/m³